Record 1
A relaxed structure of TmNpMo, computed with PBE.

```
TmNpMo
1.0
6.6394 0.0000 0.0000
0.0000 6.6394 0.0000
0.0000 0.0000 6.6394
Tm Np Mo
4 4 4
Direct
0.0000 0.0000 0.0000 Tm
0.0000 0.5000 0.5000 Tm
0.5000 0.0000 0.5000 Tm
0.5000 0.5000 0.0000 Tm
0.0000 0.0000 0.5000 Np
0.0000 0.5000 0.0000 Np
0.5000 0.0000 0.0000 Np
0.5000 0.5000 0.5000 Np
0.2500 0.2500 0.7500 Mo
0.2500 0.7500 0.2500 Mo
0.7500 0.2500 0.2500 Mo
0.7500 0.7500 0.7500 Mo
```

Summary:
Space-group type: F-43m, No. 216
Excess energy over the best structure of this formula in the dataset: 0.0 meV per atom
Formation enthalpy at 0 K: 0.748 eV/atom

---

Record 2
A relaxed structure of HfScTc2, computed with PBE.

```
HfScTc2
1.0
6.4725 0.0000 0.0000
0.0000 6.4725 0.0000
0.0000 0.0000 6.4725
Hf Sc Tc
4 4 8
Direct
0.0000 0.0000 0.0000 Hf
0.0000 0.5000 0.5000 Hf
0.5000 0.0000 0.5000 Hf
0.5000 0.5000 0.0000 Hf
0.2500 0.2500 0.7500 Sc
0.2500 0.7500 0.2500 Sc
0.7500 0.2500 0.2500 Sc
0.7500 0.7500 0.7500 Sc
0.0000 0.0000 0.5000 Tc
0.0000 0.5000 0.0000 Tc
0.2500 0.2500 0.2500 Tc
0.2500 0.7500 0.7500 Tc
0.5000 0.0000 0.0000 Tc
0.5000 0.5000 0.5000 Tc
0.7500 0.2500 0.7500 Tc
0.7500 0.7500 0.2500 Tc
```

Summary:
Space-group type: F-43m, No. 216
Formation enthalpy at 0 K: -0.060 eV/atom

---

Record 3
A relaxed structure of RbTbDyTe3, computed with PBE.

```
RbTbDyTe3
1.0
2.3698 -8.4161 0.0000
2.3698 8.4161 0.0000
0.0000 0.0000 11.8515
Rb Tb Dy Te
2 2 2 6
Direct
0.2451 0.7549 0.7500 Rb
0.7549 0.2451 0.2500 Rb
0.5000 0.5000 0.0000 Tb
0.5000 0.5000 0.5000 Tb
0.0336 0.9664 0.2500 Dy
0.9664 0.0336 0.7500 Dy
0.1256 0.8744 0.0421 Te
0.1256 0.8744 0.4579 Te
0.4302 0.5698 0.2500 Te
0.5698 0.4302 0.7500 Te
0.8744 0.1256 0.5421 Te
0.8744 0.1256 0.9579 Te
```

Summary:
Space-group type: Cmcm, No. 63
Excess energy over the best structure of this formula in the dataset: 0.0 meV per atom

---

Record 4
A relaxed structure of AgMoPt, computed with PBE.

```
AgMoPt
1.0
6.1046 0.0000 0.0000
0.0000 6.1046 0.0000
0.0000 0.0000 6.1046
Ag Mo Pt
4 4 4
Direct
0.0000 0.0000 0.0000 Ag
0.0000 0.5000 0.5000 Ag
0.5000 0.0000 0.5000 Ag
0.5000 0.5000 0.0000 Ag
0.0000 0.0000 0.5000 Mo
0.0000 0.5000 0.0000 Mo
0.5000 0.0000 0.0000 Mo
0.5000 0.5000 0.5000 Mo
0.2500 0.2500 0.2500 Pt
0.2500 0.7500 0.7500 Pt
0.7500 0.2500 0.7500 Pt
0.7500 0.7500 0.2500 Pt
```

Summary:
Space-group type: F-43m, No. 216
Excess energy over the best structure of this formula in the dataset: 0.0 meV per atom
Formation enthalpy at 0 K: 0.503 eV/atom

---

Record 5
A relaxed structure of Zr2HO6, computed with PBE.

```
Zr2HO6
1.0
3.7529 0.0000 0.0000
1.8527 4.7841 0.0000
1.5367 1.7465 5.5977
Zr H O
2 1 6
Direct
0.0000 0.0000 0.0000 Zr
0.2424 0.1387 0.4303 Zr
0.6898 0.5427 0.6929 H
0.3165 0.8109 0.7466 O
0.3982 0.1507 0.0553 O
0.4377 0.5737 0.2337 O
0.8064 0.5667 0.1987 O
0.8442 0.9887 0.3766 O
0.9097 0.3586 0.6804 O
```

Summary:
Space-group type: P1, No. 1
Excess energy over the best structure of this formula in the dataset: 0.0 meV per atom

---

Record 6
A relaxed structure of LiSmS2, computed with PBE.

```
LiSmS2
1.0
3.9936 0.0000 0.0000
-1.9968 3.4586 0.0000
0.0000 0.0000 18.5414
Li Sm S
3 3 6
Direct
0.0000 0.0000 0.0000 Li
0.3333 0.6667 0.6667 Li
0.6667 0.3333 0.3333 Li
0.0000 0.0000 0.5000 Sm
0.3333 0.6667 0.1667 Sm
0.6667 0.3333 0.8333 Sm
0.0000 0.0000 0.2515 S
0.0000 0.0000 0.7485 S
0.3333 0.6667 0.4151 S
0.3333 0.6667 0.9182 S
0.6667 0.3333 0.0818 S
0.6667 0.3333 0.5849 S
```

Summary:
Space-group type: R-3m, No. 166

---

Record 7
A relaxed structure of KHf2N4, computed with PBE.

```
KHf2N4
1.0
11.8266 0.0000 0.0000
0.0000 5.9377 0.0000
-0.8569 0.0000 3.0855
K Hf N
2 4 8
Direct
0.0000 0.0000 0.0000 K
0.5000 0.5000 0.0000 K
0.2132 0.5000 0.1359 Hf
0.2868 0.0000 0.8641 Hf
0.7132 0.0000 0.1359 Hf
0.7868 0.5000 0.8641 Hf
0.1686 0.2614 0.5686 N
0.1686 0.7386 0.5686 N
0.3314 0.2386 0.4314 N
0.3314 0.7614 0.4314 N
0.6686 0.2386 0.5686 N
0.6686 0.7614 0.5686 N
0.8314 0.2614 0.4314 N
0.8314 0.7386 0.4314 N
```

Summary:
Space-group type: C2/m, No. 12

---

Record 8
A relaxed structure of FeSi18Ge13, computed with PBE.

```
FeSi18Ge13
1.0
5.5711 0.0000 0.0000
0.0000 3.9323 0.0000
-0.0208 0.0000 31.3433
Fe Si Ge
1 18 13
Direct
0.0000 0.0000 0.0000 Fe
0.0060 0.0000 0.4984 Si
0.0069 0.0000 0.2467 Si
0.2370 0.0000 0.9410 Si
0.2432 0.0000 0.1837 Si
0.2435 0.0000 0.4361 Si
0.2441 0.0000 0.6845 Si
0.2495 0.0000 0.0582 Si
0.4953 0.5000 0.0612 Si
0.5064 0.5000 0.5625 Si
0.5074 0.5000 0.8139 Si
0.7535 0.5000 0.1214 Si
0.7550 0.5000 0.6231 Si
0.7557 0.5000 0.3749 Si
0.7559 0.5000 0.8748 Si
0.9948 0.0000 0.3750 Si
0.9950 0.0000 0.6237 Si
0.9970 0.0000 0.8772 Si
0.9976 0.0000 0.1211 Si
0.0067 0.0000 0.7488 Ge
0.2436 0.0000 0.3115 Ge
0.2548 0.0000 0.5616 Ge
0.2562 0.0000 0.8145 Ge
0.4944 0.5000 0.4360 Ge
0.4944 0.5000 0.6846 Ge
0.4947 0.5000 0.9369 Ge
0.4963 0.5000 0.1836 Ge
0.5069 0.5000 0.3123 Ge
0.7437 0.5000 0.7497 Ge
0.7552 0.5000 0.4998 Ge
0.7563 0.5000 0.2475 Ge
0.7707 0.5000 0.0004 Ge
```

Summary:
Space-group type: Pm, No. 6

---

Record 9
A relaxed structure of CdFe2Ni, computed with PBE.

```
CdFe2Ni
1.0
5.9893 0.0000 0.0000
0.0000 5.9893 0.0000
0.0000 0.0000 5.9893
Cd Fe Ni
4 8 4
Direct
0.0000 0.0000 0.0000 Cd
0.0000 0.5000 0.5000 Cd
0.5000 0.0000 0.5000 Cd
0.5000 0.5000 0.0000 Cd
0.0000 0.0000 0.5000 Fe
0.0000 0.5000 0.0000 Fe
0.2500 0.2500 0.2500 Fe
0.2500 0.7500 0.7500 Fe
0.5000 0.0000 0.0000 Fe
0.5000 0.5000 0.5000 Fe
0.7500 0.2500 0.7500 Fe
0.7500 0.7500 0.2500 Fe
0.2500 0.2500 0.7500 Ni
0.2500 0.7500 0.2500 Ni
0.7500 0.2500 0.2500 Ni
0.7500 0.7500 0.7500 Ni
```

Summary:
Space-group type: F-43m, No. 216
Formation enthalpy at 0 K: 0.236 eV/atom

---

Record 10
A relaxed structure of Dy3Mg3CdPt2, computed with PBE.

```
Dy3Mg3CdPt2
1.0
7.5045 0.0000 0.0000
-3.7523 6.4991 0.0000
0.0000 0.0000 4.1270
Dy Mg Cd Pt
3 3 1 2
Direct
0.0000 0.5754 0.0000 Dy
0.4246 0.4246 0.0000 Dy
0.5754 0.0000 0.0000 Dy
0.0000 0.2569 0.5000 Mg
0.2569 0.0000 0.5000 Mg
0.7431 0.7431 0.5000 Mg
0.0000 0.0000 0.0000 Cd
0.3333 0.6667 0.5000 Pt
0.6667 0.3333 0.5000 Pt
```

Summary:
Space-group type: P-62m, No. 189

---

Record 11
A relaxed structure of ZnFeSiIr, computed with PBE.

```
ZnFeSiIr
1.0
5.8263 0.0000 0.0000
0.0000 5.8263 0.0000
0.0000 0.0000 5.8263
Zn Fe Si Ir
4 4 4 4
Direct
0.0000 0.0000 0.0000 Zn
0.0000 0.5000 0.5000 Zn
0.5000 0.0000 0.5000 Zn
0.5000 0.5000 0.0000 Zn
0.2500 0.2500 0.7500 Fe
0.2500 0.7500 0.2500 Fe
0.7500 0.2500 0.2500 Fe
0.7500 0.7500 0.7500 Fe
0.0000 0.0000 0.5000 Si
0.0000 0.5000 0.0000 Si
0.5000 0.0000 0.0000 Si
0.5000 0.5000 0.5000 Si
0.2500 0.2500 0.2500 Ir
0.2500 0.7500 0.7500 Ir
0.7500 0.2500 0.7500 Ir
0.7500 0.7500 0.2500 Ir
```

Summary:
Space-group type: F-43m, No. 216
Excess energy over the best structure of this formula in the dataset: 0.0 meV per atom

---

Record 12
A relaxed structure of PmSi2Au2, computed with PBE.

```
PmSi2Au2
1.0
4.3255 0.0000 0.0000
0.0000 4.3255 0.0000
0.0000 0.0000 10.2778
Pm Si Au
2 4 4
Direct
0.0000 0.0000 0.0000 Pm
0.5000 0.5000 0.5000 Pm
0.0000 0.0000 0.3864 Si
0.0000 0.0000 0.6136 Si
0.5000 0.5000 0.1136 Si
0.5000 0.5000 0.8864 Si
0.0000 0.5000 0.2500 Au
0.0000 0.5000 0.7500 Au
0.5000 0.0000 0.2500 Au
0.5000 0.0000 0.7500 Au
```

Summary:
Space-group type: I4/mmm, No. 139

---

Record 13
A relaxed structure of TmAl2Se3S, computed with PBE.

```
TmAl2Se3S
1.0
6.0316 0.0000 0.0000
-0.0510 6.1199 0.0000
-2.9100 -3.0270 5.1431
Tm Al Se S
1 2 3 1
Direct
0.0000 0.0000 0.0000 Tm
0.5186 0.5204 0.0123 Al
0.7609 0.2751 0.5204 Al
0.1413 0.1591 0.7369 Se
0.4248 0.8924 0.2899 Se
0.8800 0.4192 0.2872 Se
0.6286 0.5961 0.7524 S
```

Summary:
Space-group type: P1, No. 1

---

Record 14
A relaxed structure of Nd3InHg5, computed with PBE.

```
Nd3InHg5
1.0
9.1651 0.0000 0.0000
-4.5825 7.9372 0.0000
0.0000 0.0000 6.5337
Nd In Hg
6 2 10
Direct
0.0000 0.3384 0.2500 Nd
0.0000 0.6616 0.7500 Nd
0.3384 0.0000 0.2500 Nd
0.3384 0.3384 0.7500 Nd
0.6616 0.0000 0.7500 Nd
0.6616 0.6616 0.2500 Nd
0.0000 0.0000 0.0000 In
0.0000 0.0000 0.5000 In
0.0000 0.3289 0.7500 Hg
0.0000 0.6711 0.2500 Hg
0.3289 0.0000 0.7500 Hg
0.3289 0.3289 0.2500 Hg
0.3333 0.6667 0.0000 Hg
0.3333 0.6667 0.5000 Hg
0.6667 0.3333 0.0000 Hg
0.6667 0.3333 0.5000 Hg
0.6711 0.0000 0.2500 Hg
0.6711 0.6711 0.7500 Hg
```

Summary:
Space-group type: P6_3/mcm, No. 193

---

Record 15
A relaxed structure of LiTaAuSe2S, computed with PBE.

```
LiTaAuSe2S
1.0
1.7845 -6.7235 0.0000
1.7845 6.7235 0.0000
0.0000 0.0000 9.8573
Li Ta Au Se S
2 2 2 4 2
Direct
0.2400 0.7600 0.7500 Li
0.7600 0.2400 0.2500 Li
0.5000 0.5000 0.0000 Ta
0.5000 0.5000 0.5000 Ta
0.0792 0.9208 0.2500 Au
0.9208 0.0792 0.7500 Au
0.1429 0.8571 0.0146 Se
0.1429 0.8571 0.4854 Se
0.8571 0.1429 0.5146 Se
0.8571 0.1429 0.9854 Se
0.4237 0.5763 0.2500 S
0.5763 0.4237 0.7500 S
```

Summary:
Space-group type: Cmcm, No. 63

---

Record 16
A relaxed structure of LaPmNO, computed with PBE.

```
LaPmNO
1.0
4.3064 0.0000 0.0000
0.0000 4.3064 0.0000
0.0000 0.0000 8.3965
La Pm N O
2 2 2 2
Direct
0.2500 0.7500 0.0000 La
0.7500 0.2500 0.0000 La
0.2500 0.2500 0.3873 Pm
0.7500 0.7500 0.6127 Pm
0.2500 0.2500 0.8524 N
0.7500 0.7500 0.1476 N
0.2500 0.7500 0.5000 O
0.7500 0.2500 0.5000 O
```

Summary:
Space-group type: P4/nmm, No. 129
Excess energy over the best structure of this formula in the dataset: 517.1 meV per atom

---

Record 17
A relaxed structure of Nd2Sm2N2Cl5, computed with PBE.

```
Nd2Sm2N2Cl5
1.0
9.2784 -1.8088 0.0000
9.2784 1.8088 0.0000
-3.3578 0.0000 7.1623
Nd Sm N Cl
2 2 2 5
Direct
0.0000 0.0000 0.2070 Nd
0.0000 0.0000 0.7930 Nd
0.3215 0.3215 0.8222 Sm
0.6785 0.6785 0.1778 Sm
0.4582 0.4582 0.9583 N
0.5418 0.5418 0.0417 N
0.1674 0.1674 0.4517 Cl
0.1675 0.1675 0.8815 Cl
0.5000 0.5000 0.5000 Cl
0.8325 0.8325 0.1185 Cl
0.8326 0.8326 0.5483 Cl
```

Summary:
Space-group type: C2/m, No. 12

---

Record 18
A relaxed structure of DyErNCl2, computed with PBE.

```
DyErNCl2
1.0
3.5686 0.0000 0.0000
-1.7843 3.0905 0.0000
0.0000 0.0000 10.0057
Dy Er N Cl
1 1 1 2
Direct
0.0000 0.0000 0.0000 Dy
0.6667 0.3333 0.7418 Er
0.3333 0.6667 0.8672 N
0.0000 0.0000 0.5662 Cl
0.6667 0.3333 0.1784 Cl
```

Summary:
Space-group type: P3m1, No. 156

---

Record 19
A relaxed structure of Lu2B, computed with PBE.

```
Lu2B
1.0
0.0000 5.3996 5.3996
5.3996 0.0000 5.3996
5.3996 5.3996 0.0000
Lu B
4 2
Direct
0.0000 0.0000 0.0000 Lu
0.0000 0.0000 0.5000 Lu
0.0000 0.5000 0.0000 Lu
0.5000 0.0000 0.0000 Lu
0.1250 0.1250 0.1250 B
0.8750 0.8750 0.8750 B
```

Summary:
Space-group type: Fd-3m, No. 227
Excess energy over the best structure of this formula in the dataset: 1119.7 meV per atom

---

Record 20
A relaxed structure of ZrCoIrPb, computed with PBE.

```
ZrCoIrPb
1.0
6.5890 0.0000 0.0000
0.0000 6.5890 0.0000
0.0000 0.0000 6.5890
Zr Co Ir Pb
4 4 4 4
Direct
0.0000 0.0000 0.0000 Zr
0.0000 0.5000 0.5000 Zr
0.5000 0.0000 0.5000 Zr
0.5000 0.5000 0.0000 Zr
0.0000 0.0000 0.5000 Co
0.0000 0.5000 0.0000 Co
0.5000 0.0000 0.0000 Co
0.5000 0.5000 0.5000 Co
0.2500 0.2500 0.7500 Ir
0.2500 0.7500 0.2500 Ir
0.7500 0.2500 0.2500 Ir
0.7500 0.7500 0.7500 Ir
0.2500 0.2500 0.2500 Pb
0.2500 0.7500 0.7500 Pb
0.7500 0.2500 0.7500 Pb
0.7500 0.7500 0.2500 Pb
```

Summary:
Space-group type: F-43m, No. 216
Excess energy over the best structure of this formula in the dataset: 320.6 meV per atom

---

Calculated density (computed, kg/m3): 11390, 10275, 5548, 11647, 4617, 4307, 6930, 3641, 8743, 8769, 11471, 10278, 4302, 10834, 8071, 6695, 5488, 6240, 3805, 12761
VASP energy (computed, eV/atom): -8.616, -9.312, -4.485, -6.073, -7.793, -5.528, -8.214, -5.110, -5.534, -4.192, -6.254, -5.038, -4.753, -2.522, -5.182, -7.304, -5.785, -6.215, -4.129, -6.888